[1]
Entry from the Alexandria database: a relaxed Mn2NiHg2 crystal (PBE).

Unit cell a=3.182 b=3.182 c=8.119 alpha=78.70 beta=78.70 gamma=90.00
Fractional coordinates of all 5 atoms:
Ni: 0.000 0.000 0.000
Mn: 0.750 0.250 0.500
Mn: 0.250 0.750 0.500
Hg: 0.399 0.399 0.201
Hg: 0.601 0.601 0.799

The calculation puts the density of states at the Fermi level at 5.3 states/eV/f.u. The value obtained for the energy above the most stable polymorph in this dataset is 160 meV/atom. As for the space group: I4/mmm. The crystal system is tetragonal. The value obtained for the calculated formation energy is 0.61 eV/atom. As for the volume: 15.8 A^3/atom.


[2]
Entry from the Alexandria database: a relaxed MnNi2Hg crystal (PBE).

Unit cell a=8.519 b=8.519 c=8.519 alpha=19.18 beta=19.18 gamma=19.18
Fractional coordinates of all 4 atoms:
Hg: 0.250 0.250 0.250
Mn: 0.750 0.750 0.750
Ni: 0.009 0.009 0.009
Ni: 0.491 0.491 0.491

The calculation puts the density of states at the Fermi level at 1.1 states/eV/f.u. As for the space group: R-3m. The crystal system is trigonal. The value obtained for the calculated formation energy is 0.24 eV/atom. As for the volume: 14.6 A^3/atom.


[3]
Entry from the Alexandria database: a relaxed Mn3NiHg crystal (PBE).

Unit cell a=4.564 b=4.564 c=4.564 alpha=90.00 beta=90.00 gamma=90.00
Fractional coordinates of all 5 atoms:
Ni: 0.000 0.000 0.000
Mn: 0.000 0.500 0.000
Mn: 0.000 0.000 0.500
Mn: 0.500 0.000 0.000
Hg: 0.500 0.500 0.500

The calculation puts the density of states at the Fermi level at 4.6 states/eV/f.u. The value obtained for the energy above the most stable polymorph in this dataset is 0 meV/atom. As for the space group: Pm-3m. The crystal system is cubic. The value obtained for the calculated formation energy is 0.69 eV/atom. As for the volume: 19.0 A^3/atom.


[4]
Entry from the Alexandria database: a relaxed Mn3NiHg crystal (PBE).

Unit cell a=4.962 b=4.962 c=4.962 alpha=90.00 beta=90.00 gamma=90.00
Fractional coordinates of all 5 atoms:
Ni: 0.500 0.500 0.500
Mn: 0.000 0.500 0.000
Mn: 0.000 0.000 0.500
Mn: 0.500 0.000 0.000
Hg: 0.000 0.000 0.000

The calculation puts the density of states at the Fermi level at 3.8 states/eV/f.u. The value obtained for the energy above the most stable polymorph in this dataset is 859 meV/atom. As for the space group: Pm-3m. The crystal system is cubic. The value obtained for the calculated formation energy is 1.55 eV/atom. As for the volume: 24.4 A^3/atom.


[5]
Entry from the Alexandria database: a relaxed MnNi2Hg crystal (PBE).

Unit cell a=3.988 b=3.988 c=3.550 alpha=90.00 beta=90.00 gamma=90.02
Fractional coordinates of all 4 atoms:
Hg: 0.500 0.000 0.500
Mn: 0.000 0.500 0.500
Ni: 0.000 0.000 0.000
Ni: 0.500 0.500 0.000

The calculation puts the density of states at the Fermi level at 0.9 states/eV/f.u. As for the space group: P4/mmm. The crystal system is tetragonal. The value obtained for the calculated formation energy is 0.11 eV/atom. As for the volume: 14.1 A^3/atom.


[6]
Entry from the Alexandria database: a relaxed MnNi2Hg crystal (PBE).

Unit cell a=4.512 b=4.512 c=4.512 alpha=127.54 beta=127.58 gamma=77.34
Fractional coordinates of all 4 atoms:
Hg: 0.750 0.250 0.500
Mn: 0.250 0.750 0.500
Ni: 0.000 0.000 0.000
Ni: 0.500 0.500 0.000

The calculation puts the density of states at the Fermi level at 1.5 states/eV/f.u. As for the space group: I4/mmm. The crystal system is tetragonal. The value obtained for the calculated formation energy is 0.11 eV/atom. As for the volume: 14.0 A^3/atom.


[7]
Entry from the Alexandria database: a relaxed MnNi2Hg crystal (PBE).

Unit cell a=4.774 b=4.774 c=4.774 alpha=133.65 beta=133.69 gamma=67.61
Fractional coordinates of all 4 atoms:
Hg: 0.500 0.500 0.000
Mn: 0.250 0.750 0.500
Ni: 0.000 0.000 0.000
Ni: 0.750 0.250 0.500

The calculation puts the density of states at the Fermi level at 2.0 states/eV/f.u. As for the space group: I-4m2. The crystal system is tetragonal. The value obtained for the calculated formation energy is 0.13 eV/atom. As for the volume: 14.0 A^3/atom.


[8]
Entry from the Alexandria database: a relaxed Mn2NiHg2 crystal (PBE).

Unit cell a=7.057 b=7.057 c=3.617 alpha=90.00 beta=90.00 gamma=90.00
Fractional coordinates of all 10 atoms:
Ni: 0.000 0.000 0.000
Ni: 0.500 0.500 0.000
Mn: 0.158 0.658 0.500
Mn: 0.658 0.842 0.500
Mn: 0.842 0.342 0.500
Mn: 0.342 0.158 0.500
Hg: 0.353 0.853 0.000
Hg: 0.853 0.647 0.000
Hg: 0.647 0.147 0.000
Hg: 0.147 0.353 0.000

The calculation puts the density of states at the Fermi level at 2.4 states/eV/f.u. The value obtained for the energy above the most stable polymorph in this dataset is 48 meV/atom. As for the space group: P4/mbm. The crystal system is tetragonal. The value obtained for the calculated formation energy is 0.49 eV/atom. As for the volume: 18.0 A^3/atom.


[9]
Entry from the Alexandria database: a relaxed MnNi2Hg crystal (PBE).

Unit cell a=3.044 b=3.044 c=6.061 alpha=90.00 beta=90.00 gamma=90.00
Fractional coordinates of all 4 atoms:
Hg: 0.500 0.500 0.250
Mn: 0.500 0.500 0.750
Ni: 0.000 0.000 0.966
Ni: 0.000 0.000 0.534

The calculation puts the density of states at the Fermi level at 2.1 states/eV/f.u. As for the space group: P4/mmm. The crystal system is tetragonal. The value obtained for the calculated formation energy is 0.08 eV/atom. As for the volume: 14.0 A^3/atom.


[10]
Entry from the Alexandria database: a relaxed MnNi2Hg crystal (PBE).

Unit cell a=4.445 b=4.445 c=4.846 alpha=78.66 beta=78.66 gamma=37.73
Fractional coordinates of all 4 atoms:
Hg: 0.750 0.750 0.750
Mn: 0.250 0.250 0.250
Ni: 0.992 0.992 0.036
Ni: 0.508 0.508 0.464

The calculation puts the density of states at the Fermi level at 3.5 states/eV/f.u. As for the space group: C2/m. The crystal system is monoclinic. The value obtained for the calculated formation energy is 0.21 eV/atom. As for the volume: 14.3 A^3/atom.


[11]
Entry from the Alexandria database: a relaxed MnNi2Hg crystal (PBE).

Unit cell a=6.807 b=6.807 c=5.497 alpha=51.74 beta=51.74 gamma=90.00
Fractional coordinates of all 8 atoms:
Ni: 0.600 0.125 0.250
Ni: 0.150 0.625 0.250
Ni: 0.375 0.400 0.750
Ni: 0.875 0.850 0.750
Mn: 0.500 0.500 0.000
Mn: 0.250 0.750 0.500
Hg: 0.000 0.000 0.000
Hg: 0.750 0.250 0.500

The calculation puts the density of states at the Fermi level at 2.2 states/eV/f.u. As for the space group: I-42d. The crystal system is tetragonal. The value obtained for the calculated formation energy is 0.46 eV/atom. As for the volume: 15.4 A^3/atom.


[12]
Entry from the Alexandria database: a relaxed MnNiHg3 crystal (PBE).

Unit cell a=5.121 b=5.121 c=5.121 alpha=90.00 beta=90.00 gamma=90.00
Fractional coordinates of all 5 atoms:
Ni: 0.500 0.500 0.500
Mn: 0.000 0.000 0.000
Hg: 0.000 0.500 0.000
Hg: 0.000 0.000 0.500
Hg: 0.500 0.000 0.000

The calculation puts the density of states at the Fermi level at 7.0 states/eV/f.u. The value obtained for the energy above the most stable polymorph in this dataset is 421 meV/atom. As for the space group: Pm-3m. The crystal system is cubic. The value obtained for the calculated formation energy is 0.98 eV/atom. As for the volume: 26.9 A^3/atom.


[13]
Entry from the Alexandria database: a relaxed MnNiHg4 crystal (PBE).

Unit cell a=5.691 b=5.691 c=5.691 alpha=60.00 beta=60.00 gamma=60.00
Fractional coordinates of all 6 atoms:
Mn: 0.750 0.750 0.750
Ni: 0.000 0.000 0.000
Hg: 0.876 0.375 0.375
Hg: 0.375 0.375 0.876
Hg: 0.375 0.876 0.375
Hg: 0.375 0.375 0.375

The calculation puts the density of states at the Fermi level at 2.5 states/eV/f.u. As for the space group: F-43m. The crystal system is cubic. The value obtained for the calculated formation energy is 0.68 eV/atom. As for the volume: 21.7 A^3/atom.


[14]
Entry from the Alexandria database: a relaxed Mn2NiHg2 crystal (PBE).

Unit cell a=6.429 b=6.429 c=4.297 alpha=90.00 beta=90.00 gamma=90.00
Fractional coordinates of all 10 atoms:
Ni: 0.000 0.000 0.000
Ni: 0.500 0.500 0.000
Mn: 0.350 0.850 0.000
Mn: 0.850 0.650 0.000
Mn: 0.650 0.150 0.000
Mn: 0.150 0.350 0.000
Hg: 0.163 0.663 0.500
Hg: 0.663 0.837 0.500
Hg: 0.837 0.337 0.500
Hg: 0.337 0.163 0.500

The calculation puts the density of states at the Fermi level at 4.3 states/eV/f.u. The value obtained for the energy above the most stable polymorph in this dataset is 0 meV/atom. As for the space group: P4/mbm. The crystal system is tetragonal. The value obtained for the calculated formation energy is 0.45 eV/atom. As for the volume: 17.8 A^3/atom.


[15]
Entry from the Alexandria database: a relaxed MnNiHg3 crystal (PBE).

Unit cell a=4.969 b=4.969 c=4.969 alpha=90.00 beta=90.00 gamma=90.00
Fractional coordinates of all 5 atoms:
Ni: 0.000 0.000 0.000
Mn: 0.500 0.500 0.500
Hg: 0.000 0.500 0.000
Hg: 0.000 0.000 0.500
Hg: 0.500 0.000 0.000

The calculation puts the density of states at the Fermi level at 2.6 states/eV/f.u. The value obtained for the energy above the most stable polymorph in this dataset is 0 meV/atom. As for the space group: Pm-3m. The crystal system is cubic. The value obtained for the calculated formation energy is 0.56 eV/atom. As for the volume: 24.5 A^3/atom.


[16]
Entry from the Alexandria database: a relaxed Mn2NiHg2 crystal (PBE).

Unit cell a=3.855 b=3.855 c=7.427 alpha=74.96 beta=74.96 gamma=90.00
Fractional coordinates of all 5 atoms:
Ni: 0.000 0.000 0.000
Mn: 0.410 0.410 0.181
Mn: 0.590 0.590 0.819
Hg: 0.750 0.250 0.500
Hg: 0.250 0.750 0.500

The calculation puts the density of states at the Fermi level at 3.4 states/eV/f.u. The value obtained for the energy above the most stable polymorph in this dataset is 379 meV/atom. As for the space group: I4/mmm. The crystal system is tetragonal. The value obtained for the calculated formation energy is 0.83 eV/atom. As for the volume: 20.5 A^3/atom.


[17]
Entry from the Alexandria database: a relaxed MnNi2Hg crystal (PBE).

Unit cell a=3.480 b=2.886 c=6.349 alpha=62.89 beta=90.00 gamma=90.00
Fractional coordinates of all 4 atoms:
Hg: 0.000 0.513 0.487
Mn: 0.500 0.706 0.794
Ni: 0.000 0.002 0.998
Ni: 0.500 0.279 0.221

The calculation puts the density of states at the Fermi level at 2.6 states/eV/f.u. As for the space group: Pmm2. The crystal system is orthorhombic. The value obtained for the calculated formation energy is 0.16 eV/atom. As for the volume: 14.2 A^3/atom.


[18]
Entry from the Alexandria database: a relaxed MnNi3Hg crystal (PBE).

Unit cell a=4.360 b=4.360 c=4.360 alpha=90.00 beta=90.00 gamma=90.00
Fractional coordinates of all 5 atoms:
Ni: 0.000 0.500 0.000
Ni: 0.000 0.000 0.500
Ni: 0.500 0.000 0.000
Mn: 0.000 0.000 0.000
Hg: 0.500 0.500 0.500

The calculation puts the density of states at the Fermi level at 5.2 states/eV/f.u. The value obtained for the energy above the most stable polymorph in this dataset is 0 meV/atom. As for the space group: Pm-3m. The crystal system is cubic. The value obtained for the calculated formation energy is 0.94 eV/atom. As for the volume: 16.6 A^3/atom.


[19]
Entry from the Alexandria database: a relaxed MnNi2Hg crystal (PBE).

Unit cell a=4.313 b=4.313 c=4.313 alpha=60.00 beta=60.00 gamma=60.00
Fractional coordinates of all 4 atoms:
Hg: 0.500 0.500 0.500
Mn: 0.750 0.750 0.750
Ni: 0.000 0.000 0.000
Ni: 0.250 0.250 0.250

The calculation puts the density of states at the Fermi level at 3.0 states/eV/f.u. As for the space group: F-43m. The crystal system is cubic. The value obtained for the calculated formation energy is 0.23 eV/atom. As for the volume: 14.2 A^3/atom.